Computed, not measured: a relaxed NaMg4Cd crystal at the PBE-GGA level of DFT.

```
NaMg4Cd
1.0
0.000 4.208 4.208
4.208 0.000 4.208
4.208 4.208 0.000
Na Mg Cd
1 4 1
direct
0.000 0.000 0.000
0.127 0.624 0.624
0.624 0.127 0.624
0.624 0.624 0.127
0.624 0.624 0.624
0.250 0.250 0.250
```

The total energy comes out at -1.351 eV/atom. The density of states at the Fermi level is 0.65 states/eV/atom. As for the space group: F-43m. The volume comes out at 24.840 Å³/atom. The formation energy comes out at 0.084 eV per atom.

Computed, not measured: a relaxed NaMg15Cd4 crystal at the PBE-GGA level of DFT.

```
NaMg15Cd4
1.0
4.528 0.000 0.000
0.000 4.528 0.000
0.000 0.000 22.088
Na Mg Cd
1 15 4
direct
0.000 0.000 0.000
0.000 0.500 0.108
0.000 0.500 0.304
0.000 0.500 0.500
0.000 0.500 0.696
0.000 0.500 0.892
0.500 0.000 0.108
0.500 0.000 0.304
0.500 0.000 0.500
0.500 0.000 0.696
0.500 0.000 0.892
0.500 0.500 0.000
0.500 0.500 0.208
0.500 0.500 0.402
0.500 0.500 0.598
0.500 0.500 0.792
0.000 0.000 0.205
0.000 0.000 0.402
0.000 0.000 0.598
0.000 0.000 0.795
```

The total energy comes out at -1.482 eV/atom. The density of states at the Fermi level is 0.45 states/eV/atom. As for the space group: P4/mmm. The volume comes out at 22.646 Å³/atom. The formation energy comes out at -0.037 eV per atom.